DFT (PBE) results for a relaxed KNi2Os crystal.

Computed properties:
Spin magnetization, μB per cell: 0.000
Formation enthalpy at 0 K, kcal/mol of atoms: 14.127
DOS at the Fermi energy, states/eV per cell: 3.445

Lattice parameters (Å, degrees): 4.3054 4.3054 6.8590 85.90 85.90 35.84
Last column: nearest neighbours and their distance in Å.
Sites, in units of the cell vectors:
K 0.2500 0.2500 0.2500  2 K 2.65
Ni 0.0125 0.0125 0.8972  4 Ni 2.44-2.65, 3 Os 2.44-2.50
Ni 0.4875 0.4875 0.6028  4 Ni 2.44-2.65, 3 Os 2.44-2.50
Os 0.7500 0.7500 0.7500  6 Ni 2.44-2.50, 2 Os 2.65